1.
Below is K2Ga7Ag12 after structural relaxation, with properties calculated at the GGA-PBE level.

Lattice parameters (Å, degrees): 10.7439 10.7439 4.3227 90.00 90.00 120.00
Space group P-3 (No. 147)
Asymmetric unit:
K  0.3333  0.6667  0.2427
Ga  0.0000  0.0000  0.5000
Ga  0.1136  0.7105  0.7371
Ag  0.0533  0.4338  0.7536
Ag  0.1218  0.2568  0.2244

Output
**Crystal system**: trigonal
**E_form**: 0.006 eV/atom
**Total magnetic moment**: 0.00 μB/f.u.

---

2.
Below is Ni3As2 after structural relaxation, with properties calculated at the GGA-PBE level.

Lattice parameters (Å, degrees): 2.9508 2.9508 26.8004 90.00 90.00 120.00
Space group R-3m (No. 166, hexagonal axes)
Asymmetric unit:
Ni  0.0000  0.0000  0.0000
Ni  0.0000  0.0000  0.2016
As  0.0000  0.0000  0.4020

Output
**Crystal system**: trigonal
**E_form**: 0.039 eV/atom
**Total magnetic moment**: 0.00 μB/f.u.

---

3.
Below is LiHf2Bi after structural relaxation, with properties calculated at the GGA-PBE level.

Lattice parameters (Å, degrees): 7.9083 7.9083 5.7553 90.00 90.00 90.00
Space group I-42d (No. 122)
Asymmetric unit:
Li  0.0000  0.0000  0.0000
Hf  0.2390  0.2500  0.1250
Bi  0.0000  0.0000  0.5000

Output
**Crystal system**: tetragonal
**E_form**: 0.372 eV/atom
**Total magnetic moment**: 0.00 μB/f.u.

---

4.
Below is LiBePd4 after structural relaxation, with properties calculated at the GGA-PBE level.

Lattice parameters (Å, degrees): 7.1756 4.2157 6.0929 90.00 111.83 90.00
Space group C2/m (No. 12)
Asymmetric unit:
Li  0.0000  0.0000  0.0000
Be  0.0000  0.5000  0.5000
Pd  0.1292  0.5000  0.8826
Pd  0.2059  0.0000  0.6182

Output
**Crystal system**: monoclinic
**E_form**: -0.268 eV/atom
**Total magnetic moment**: 0.00 μB/f.u.

---

5.
Below is PaP2PbS8 after structural relaxation, with properties calculated at the GGA-PBE level.

Lattice parameters (Å, degrees): 6.8769 6.8769 8.1698 90.00 90.00 120.00
Space group P-3m1 (No. 164)
Asymmetric unit:
Pa  0.0000  0.0000  0.0000
P  0.3333  0.6667  0.6926
Pb  0.0000  0.0000  0.5000
S  0.1668  0.3336  0.7850
S  0.3333  0.6667  0.4545

Output
**Raw formation energy**: -414 meV per atom
**Crystal system**: trigonal
**Total magnetic moment**: 0.73 μB/f.u.

---

6.
Below is Mg4As after structural relaxation, with properties calculated at the GGA-PBE level.

Lattice parameters (Å, degrees): 5.1027 5.1027 5.1027 90.00 90.00 90.00
Space group Pm-3m (No. 221)
Asymmetric unit:
Mg  0.0000  0.0000  0.0000
Mg  0.0000  0.5000  0.5000
As  0.5000  0.5000  0.5000

Output
**Energy above the most stable polymorph in this dataset**: 0.00 eV/f.u.
**Crystal system**: cubic
**E_form**: 0.048 eV/atom
**Total magnetic moment**: 0.00 μB/f.u.